Computed, not measured: BaTa2As after structural relaxation at the PBE-GGA level of DFT.

Lattice parameters (Å, degrees): 4.650 4.362 4.362 90.00 90.00 90.00
Sites, in units of the cell vectors:
As1 0.500 0.500 0.000
Ba1 0.500 0.000 0.500
Ta1 0.000 0.000 0.000
Ta2 0.000 0.500 0.500

Output
- Space group: P4/mmm, No. 123
- Energy relative to the elements: 0.92 eV/atom

Computed, not measured: K2MgClF6 after structural relaxation at the PBE-GGA level of DFT.

Lattice parameters (Å, degrees): 5.659 5.687 6.781 63.77 58.66 83.92
Sites, in units of the cell vectors:
K1 0.757 0.262 0.479
K2 0.243 0.738 0.521
Mg1 0.000 0.000 0.000
Cl1 0.500 0.500 0.000
F1 0.093 0.155 0.647
F2 0.727 0.697 0.124
F3 0.361 0.798 0.873
F4 0.639 0.202 0.127
F5 0.273 0.303 0.876
F6 0.907 0.845 0.353

Output
- Space group: P-1, No. 2

| no. | total magnetization (μB per cell) | total energy (eV per atom) |
| --- | --- | --- |
| 1 | 0.0 | -6.65 |
| 2 | 1.0 | -3.97 |